Entry 1:
Tb4NdSm | PBE | optimized geometry

Unit cell a=9.387 b=9.387 c=9.387 alpha=90.00 beta=90.00 gamma=90.00
Space group F-43m (No. 216)
One atom of each set of equivalent atoms:
1 Tb 0.125 0.125 0.125 x16
2 Nd 0.000 0.000 0.500 x4
3 Sm 0.250 0.250 0.750 x4

Energy of formation = 0.28 eV/atom
Excess energy over the best structure of this formula in the dataset = 25.3 kJ per mole of atoms

Entry 2:
MnCuBi2S5 | PBE | optimized geometry

Unit cell a=3.855 b=17.791 c=11.618 alpha=90.00 beta=90.00 gamma=90.00
Space group Cmc2_1 (No. 36)
One atom of each set of equivalent atoms:
1 Mn 0.000 0.199 0.000 x4
2 Cu 0.000 0.423 0.441 x4
3 Bi 0.000 0.100 0.269 x4
4 Bi 0.000 0.148 0.674 x4
5 S 0.000 0.069 0.043 x4
6 S 0.000 0.293 0.644 x4
7 S 0.000 0.303 0.356 x4
8 S 0.000 0.336 0.007 x4
9 S 0.000 0.496 0.279 x4

Energy relative to the elements, uncorrected = -0.338 eV per atom

Entry 3:
PrNd2Al2In2 | PBE | optimized geometry

Unit cell a=4.7278 b=4.7278 c=29.6599 alpha=90.00 beta=90.00 gamma=120.00
Space group R-3m (No. 166, hexagonal axes)
One atom of each set of equivalent atoms:
1 Pr 0.0000 0.0000 0.0000 x3
2 Nd 0.0000 0.0000 0.1306 x6
3 Al 0.0000 0.0000 0.4015 x6
4 In 0.0000 0.0000 0.2612 x6

Energy of formation = -0.29 eV/atom

Entry 4:
Pm5Ho8In | PBE | optimized geometry

Unit cell a=15.159 b=8.371 c=8.560 alpha=90.00 beta=122.48 gamma=90.00
Space group C2 (No. 5)
One atom of each set of equivalent atoms:
1 Pm 0.000 0.000 0.000 x2
2 Pm 0.050 0.663 0.279 x4
3 Pm 0.100 0.329 0.957 x4
4 Ho 0.128 0.947 0.679 x4
5 Ho 0.176 0.546 0.716 x4
6 Ho 0.184 0.257 0.425 x4
7 Ho 0.190 0.727 0.068 x4
8 In 0.000 0.284 0.500 x2

Energy of formation = 0.10 eV/atom